1.
VASP calculation (GGA-PBE) on ZrAgIr2Os after structural relaxation.

Values from the calculation:
VASP energy ... -6.145 eV per atom
SG ... P4/mmm (123)
Formation enthalpy at 0 K ... 186 kJ/mol of atoms

```
ZrAgIr2Os
1.0
4.7360 0.0000 0.0000
0.0000 4.7360 0.0000
0.0000 0.0000 4.6964
Zr Ag Ir Os
1 1 2 1
direct
0.0000 0.0000 0.0000
0.5000 0.5000 0.5000
0.0000 0.5000 0.5000
0.5000 0.0000 0.5000
0.5000 0.5000 0.0000
```

2.
VASP calculation (GGA-PBE) on Li14CdPt after structural relaxation.

Values from the calculation:
VASP energy ... -2.227 eV per atom
SG ... Amm2 (38)
Formation enthalpy at 0 K ... -11 kJ/mol of atoms

```
Li14CdPt
1.0
9.5116 0.0000 0.0000
0.0000 2.9143 5.1800
0.0000 -2.9143 5.1800
Li Cd Pt
14 1 1
direct
0.0000 0.0000 0.0000
0.0000 0.0024 0.4933
0.0000 0.4933 0.0024
0.0000 0.4972 0.4972
0.2466 0.8336 0.8336
0.2695 0.3283 0.8521
0.2695 0.8521 0.3283
0.2726 0.3277 0.3277
0.5000 0.1722 0.6805
0.5000 0.6805 0.1722
0.7274 0.3277 0.3277
0.7305 0.3283 0.8521
0.7305 0.8521 0.3283
0.7534 0.8336 0.8336
0.5000 0.6783 0.6783
0.5000 0.1750 0.1750
```

3.
VASP calculation (GGA-PBE) on TbDyNiRu after structural relaxation.

Values from the calculation:
VASP energy ... -6.442 eV per atom
SG ... Pmmm (47)
Formation enthalpy at 0 K ... -36 kJ/mol of atoms
Polymorph energy (0 for the lowest one) ... 0.9 kJ/mol of atoms

```
TbDyNiRu
1.0
3.4069 0.0000 0.0000
0.0000 4.8008 0.0000
0.0000 0.0000 4.8049
Tb Dy Ni Ru
1 1 1 1
direct
0.0000 0.0000 0.0000
0.0000 0.5000 0.5000
0.5000 0.5000 0.0000
0.5000 0.0000 0.5000
```